[1]
The following is a PBE calculation of NaSrCaPt after structural relaxation, from the Alexandria database.

a = 5.3817 Å, b = 5.3817 Å, c = 5.3817 Å
α = 60.00°, β = 60.00°, γ = 60.00°
Atoms (fractional coordinates):
Na (0.0000, 0.0000, 0.0000)
Sr (0.7500, 0.7500, 0.7500)
Ca (0.2500, 0.2500, 0.2500)
Pt (0.5000, 0.5000, 0.5000)

Summary:
Energy of formation in eV/atom: -0.358
Final energy in eV per atom: -3.1190
Theoretical density in g/cm³: 5.21
Space group: F-43m

[2]
The following is a PBE calculation of Ba2EuCd after structural relaxation, from the Alexandria database.

a = 4.2491 Å, b = 4.2491 Å, c = 10.2868 Å
α = 90.00°, β = 90.00°, γ = 90.00°
Atoms (fractional coordinates):
Ba (0.0000, 0.0000, 0.2015)
Ba (0.0000, 0.0000, 0.7985)
Eu (0.5000, 0.5000, 0.5000)
Cd (0.5000, 0.5000, 0.0000)

Summary:
Energy of formation in eV/atom: -0.130
Final energy in eV per atom: -3.8887
Theoretical density in g/cm³: 4.82
Energy relative to the lowest polymorph listed for this composition in kcal/mol of atoms: 0.00
Space group: P4/mmm

[3]
The following is a PBE calculation of CeSmIr2 after structural relaxation, from the Alexandria database.

a = 7.1112 Å, b = 7.1112 Å, c = 7.1112 Å
α = 32.97°, β = 32.97°, γ = 32.97°
Atoms (fractional coordinates):
Ce (0.0000, 0.0000, 0.0000)
Sm (0.5000, 0.5000, 0.5000)
Ir (0.2549, 0.2549, 0.2549)
Ir (0.7451, 0.7451, 0.7451)

Summary:
Energy of formation in eV/atom: -0.585
Final energy in eV per atom: -7.6785
Theoretical density in g/cm³: 11.82
Energy relative to the lowest polymorph listed for this composition in kcal/mol of atoms: 3.70
Space group: R-3m

[4]
The following is a PBE calculation of RbVGe2Br8 after structural relaxation, from the Alexandria database.

a = 7.0957 Å, b = 7.1710 Å, c = 9.0606 Å
α = 89.65°, β = 89.68°, γ = 60.63°
Atoms (fractional coordinates):
Rb (0.0000, 0.0000, 0.0000)
V (0.0000, 0.0000, 0.5000)
Ge (0.3360, 0.3317, 0.6628)
Ge (0.6640, 0.6683, 0.3372)
Br (0.0473, 0.6902, 0.3358)
Br (0.2656, 0.0518, 0.3372)
Br (0.3111, 0.7379, 0.6625)
Br (0.3368, 0.3310, 0.9329)
Br (0.6632, 0.6690, 0.0671)
Br (0.6889, 0.2621, 0.3375)
Br (0.7344, 0.9482, 0.6628)
Br (0.9527, 0.3098, 0.6642)

Summary:
Final energy in eV per atom: -3.5627
Theoretical density in g/cm³: 3.81
Formation energy from raw total energies in meV/atom: -837
Space group: P-1

[5]
The following is a PBE calculation of PmNdTm5Th2 after structural relaxation, from the Alexandria database.

a = 9.8146 Å, b = 9.8146 Å, c = 9.8146 Å
α = 126.52°, β = 126.52°, γ = 79.03°
Atoms (fractional coordinates):
Pm (0.2500, 0.2500, 0.0000)
Pm (0.7500, 0.7500, 0.0000)
Nd (0.2500, 0.7500, 0.5000)
Nd (0.7500, 0.2500, 0.5000)
Tm (0.0000, 0.0000, 0.0000)
Tm (0.0695, 0.5695, 0.9138)
Tm (0.1557, 0.0695, 0.5000)
Tm (0.3443, 0.8443, 0.9138)
Tm (0.4305, 0.3443, 0.5000)
Tm (0.5000, 0.5000, 0.0000)
Tm (0.5695, 0.6557, 0.5000)
Tm (0.6557, 0.1557, 0.0862)
Tm (0.8443, 0.9305, 0.5000)
Tm (0.9305, 0.4305, 0.0862)
Th (0.1185, 0.3815, 0.5000)
Th (0.3815, 0.8815, 0.2630)
Th (0.6185, 0.1185, 0.7370)
Th (0.8815, 0.6185, 0.5000)

Summary:
Energy of formation in eV/atom: 0.327
Final energy in eV per atom: -4.8634
Theoretical density in g/cm³: 8.99
Space group: I4/mcm

[6]
The following is a PBE calculation of K3Pu3ZrS8 after structural relaxation, from the Alexandria database.

a = 8.7776 Å, b = 8.7776 Å, c = 8.7776 Å
α = 54.38°, β = 54.38°, γ = 54.38°
Atoms (fractional coordinates):
K (0.0000, 0.5000, 0.5000)
K (0.5000, 0.0000, 0.5000)
K (0.5000, 0.5000, 0.0000)
Pu (0.0000, 0.0000, 0.5000)
Pu (0.0000, 0.5000, 0.0000)
Pu (0.5000, 0.0000, 0.0000)
Zr (0.5000, 0.5000, 0.5000)
S (0.2332, 0.2332, 0.2332)
S (0.2476, 0.7222, 0.7222)
S (0.2778, 0.2778, 0.7524)
S (0.2778, 0.7524, 0.2778)
S (0.7222, 0.2476, 0.7222)
S (0.7222, 0.7222, 0.2476)
S (0.7524, 0.2778, 0.2778)
S (0.7668, 0.7668, 0.7668)

Summary:
Final energy in eV per atom: -7.4526
Theoretical density in g/cm³: 4.78
Formation energy from raw total energies in meV/atom: -1595
Space group: R-3m

- Look up the final energy of the second one.
  -3.8887 eV per atom